The following is a PBE calculation of crystalline AcMg2Al2Pt at its relaxed geometry, from Alexandria via LeMat-Bulk.

- space-group type = No. 139
- VASP energy (eV per atom) = -3.751
- calculated density (g/cm3) = 5.37
- DFT formation energy (eV/f.u.) = -1.685
- Fermi-level density of states (states/eV/cell) = 7.5

a = 4.310 Å, b = 4.310 Å, c = 17.482 Å
α = 90.00°, β = 90.00°, γ = 90.00°
Fractional coordinates of all 12 atoms:
Ac  0.000  0.000  0.000
Ac  0.500  0.500  0.500
Mg  0.000  0.500  0.250
Mg  0.000  0.500  0.750
Mg  0.500  0.000  0.250
Mg  0.500  0.000  0.750
Al  0.000  0.000  0.360
Al  0.000  0.000  0.640
Al  0.500  0.500  0.140
Al  0.500  0.500  0.860
Pt  0.000  0.000  0.500
Pt  0.500  0.500  0.000